Density functional theory data (PBE with a Hubbard U) for VSn2F6 after structural relaxation.

Calculated values
The space group is C2/m. Its crystal system is monoclinic. The total energy comes out at -0.3901 Ry/atom. As for the volume: 16.50 Å³/atom.

Unit cell a=3.523 b=5.566 c=8.034 alpha=83.74 beta=90.00 gamma=108.45
Fractional positions:
F 0.841 0.681 0.019
F 0.159 0.319 0.981
F 0.388 0.776 0.737
F 0.612 0.224 0.263
F 0.111 0.221 0.550
F 0.889 0.779 0.450
V 0.500 0.000 0.500
Sn 0.260 0.520 0.210
Sn 0.740 0.480 0.790